(1)
An optimized crystal structure of Tl2GaBi. Source: Alexandria, functional GGA-PBE.

abc: 5.0094 5.0094 17.1206
angles: 90.00 90.00 120.00
Closest atoms and distances in Å follow each position.
Space group R3m (No. 160, hexagonal axes)
Inequivalent atoms, fractional coordinates:
Tl (0.0000, 0.0000, 0.0000) x3  3 Ga 2.98
Tl (0.0000, 0.0000, 0.2016) x3  3 Ga 3.27, 3 Bi 3.35, 1 Tl 3.45
Ga (0.0000, 0.0000, 0.6245) x3  6 Tl 2.98-3.27, 1 Bi 3.23
Bi (0.0000, 0.0000, 0.4357) x3  1 Ga 3.23, 6 Tl 3.35-3.38

Properties
ΔH_f (0 K): 11 kJ/mol of atoms
DFT total energy: -11.2 eV per formula unit
energy above the most stable polymorph in this dataset: 109 meV per atom
theoretical density: 9.2 g cm⁻³

(2)
An optimized crystal structure of Tm8ZnSb2. Source: Alexandria, functional GGA-PBE.

abc: 18.7941 4.9092 6.7108
angles: 90.00 103.30 90.00
Closest atoms and distances in Å follow each position.
Space group C2/m (No. 12)
Inequivalent atoms, fractional coordinates:
Tm (0.0171, 0.0000, 0.2731) x4  2 Zn 2.94, 1 Sb 3.09, 1 Tm 3.25
Tm (0.0916, 0.5000, 0.9781) x4  1 Zn 3.27, 2 Sb 3.34, 10 Tm 3.38-3.65
Tm (0.1531, 0.5000, 0.5146) x4  1 Zn 2.86, 3 Sb 3.07-3.12
Tm (0.2140, 0.0000, 0.8332) x4  3 Sb 3.12-3.32, 4 Tm 3.28-3.39
Zn (0.0000, 0.5000, 0.5000) x2  6 Tm 2.86-2.94
Sb (0.1810, 0.0000, 0.2686) x4  9 Tm 3.07-3.34

Properties
DFT total energy: -49.3 eV per formula unit
theoretical density: 9.2 g cm⁻³
formation energy (no corrections): -34.9 kJ per mole of atoms

(3)
An optimized crystal structure of BC2. Source: Alexandria, functional GGA-PBE.

abc: 13.7132 2.5196 4.6712
angles: 90.00 108.61 90.00
Closest atoms and distances in Å follow each position.
Space group Cm (No. 8)
Inequivalent atoms, fractional coordinates:
B (0.0000, 0.0000, 0.0000) x2  4 C 1.61-1.63
B (0.0020, 0.5000, 0.5030) x2  4 C 1.61-1.68
B (0.1668, 0.5000, 0.3443) x2  4 C 1.61-1.67
B (0.3324, 0.0000, 0.6712) x2  4 C 1.59-1.66
C (0.1239, 0.0000, 0.1004) x2  1 C 1.52, 3 B 1.61-1.67
C (0.1280, 0.5000, 0.6359) x2  2 C 1.56, 2 B 1.61-1.64
C (0.1663, 0.0000, 0.8367) x2  4 C 1.52-1.59
C (0.2884, 0.0000, 0.9563) x2  3 C 1.57-1.59, 1 B 1.63
C (0.2910, 0.5000, 0.4301) x2  1 C 1.52, 3 B 1.62-1.66
C (0.3302, 0.5000, 0.1595) x2  4 C 1.52-1.57
C (0.4483, 0.5000, 0.2689) x2  1 C 1.54, 3 B 1.63-1.68
C (0.4551, 0.0000, 0.7769) x2  4 B 1.59-1.63

Properties
ΔH_f (0 K): 36 kJ/mol of atoms
DFT total energy: -24.0 eV per formula unit
energy above the most stable polymorph in this dataset: 131 meV per atom
theoretical density: 3.0 g cm⁻³

Repeat the third record exactly.
An optimized crystal structure of BC2. Source: Alexandria, functional GGA-PBE.

abc: 13.7132 2.5196 4.6712
angles: 90.00 108.61 90.00
Closest atoms and distances in Å follow each position.
Space group Cm (No. 8)
Inequivalent atoms, fractional coordinates:
B (0.0000, 0.0000, 0.0000) x2  4 C 1.61-1.63
B (0.0020, 0.5000, 0.5030) x2  4 C 1.61-1.68
B (0.1668, 0.5000, 0.3443) x2  4 C 1.61-1.67
B (0.3324, 0.0000, 0.6712) x2  4 C 1.59-1.66
C (0.1239, 0.0000, 0.1004) x2  1 C 1.52, 3 B 1.61-1.67
C (0.1280, 0.5000, 0.6359) x2  2 C 1.56, 2 B 1.61-1.64
C (0.1663, 0.0000, 0.8367) x2  4 C 1.52-1.59
C (0.2884, 0.0000, 0.9563) x2  3 C 1.57-1.59, 1 B 1.63
C (0.2910, 0.5000, 0.4301) x2  1 C 1.52, 3 B 1.62-1.66
C (0.3302, 0.5000, 0.1595) x2  4 C 1.52-1.57
C (0.4483, 0.5000, 0.2689) x2  1 C 1.54, 3 B 1.63-1.68
C (0.4551, 0.0000, 0.7769) x2  4 B 1.59-1.63

Properties
ΔH_f (0 K): 36 kJ/mol of atoms
DFT total energy: -24.0 eV per formula unit
energy above the most stable polymorph in this dataset: 131 meV per atom
theoretical density: 3.0 g cm⁻³

Q: Which formula does entry 3 have?
A: BC2